First-principles (PBE+U) data for Sr10Cu5Mo4WO30 after structural relaxation, as listed in Alexandria via LeMat-Bulk.

Unit cell a=5.7915 b=5.7915 c=19.6521 alpha=97.50 beta=97.50 gamma=96.58
Fractional positions:
1 Sr 0.0507 0.5502 0.6008
2 Sr 0.1502 0.6500 0.8003
3 Sr 0.2500 0.7500 0.0000
4 Sr 0.3500 0.8498 0.1997
5 Sr 0.4498 0.9493 0.3992
6 Sr 0.5502 0.0507 0.6008
7 Sr 0.6500 0.1502 0.8003
8 Sr 0.7500 0.2500 0.0000
9 Sr 0.8498 0.3500 0.1997
10 Sr 0.9493 0.4498 0.3992
11 Cu 0.0000 0.0000 0.5000
12 Cu 0.2001 0.2001 0.9001
13 Cu 0.3997 0.3997 0.2995
14 Cu 0.6003 0.6003 0.7005
15 Cu 0.7999 0.7999 0.0999
16 Mo 0.0999 0.0999 0.7003
17 Mo 0.2999 0.2999 0.0998
18 Mo 0.7001 0.7001 0.9002
19 Mo 0.9001 0.9001 0.2997
20 W 0.5000 0.5000 0.5000
21 O 0.0006 0.0006 0.3985
22 O 0.0629 0.0629 0.1205
23 O 0.0744 0.5254 0.0998
24 O 0.1255 0.6742 0.2997
25 O 0.1368 0.1368 0.2789
26 O 0.1989 0.1989 0.0009
27 O 0.2011 0.2011 0.7993
28 O 0.2633 0.2633 0.5212
29 O 0.2742 0.7258 0.5000
30 O 0.3258 0.8745 0.7003
31 O 0.3372 0.3372 0.6798
32 O 0.3981 0.3981 0.4009
33 O 0.4009 0.4009 0.1987
34 O 0.4630 0.4630 0.9208
35 O 0.4746 0.9256 0.9002
36 O 0.5254 0.0744 0.0998
37 O 0.5370 0.5370 0.0792
38 O 0.5991 0.5991 0.8013
39 O 0.6019 0.6019 0.5991
40 O 0.6628 0.6628 0.3202
41 O 0.6742 0.1255 0.2997
42 O 0.7258 0.2742 0.5000
43 O 0.7367 0.7367 0.4788
44 O 0.7989 0.7989 0.2007
45 O 0.8011 0.8011 0.9991
46 O 0.8632 0.8632 0.7211
47 O 0.8745 0.3258 0.7003
48 O 0.9256 0.4746 0.9002
49 O 0.9371 0.9371 0.8795
50 O 0.9994 0.9994 0.6015

Results
- Calculated density: 5.80 g/cm3
- Magnetic moment: 4.42 μB per formula unit
- Calculated volume: 12.8 A^3/atom
- Energy: -6.468 eV per atom
- DOS(E_F): 11.5 states/eV per cell